Record 1
Material: Ac4AgAu3
Method: DFT, PBE
State: optimized geometry

DFT formation energy	-0.682	eV/atom
theoretical density	10.7	g/cm³

```
8
Lattice="4.214 0.000 0.000 0.000 4.973 0.000 0.000 0.000 11.903" Properties=species:S:1:pos:R:3 pbc="T T T"
Ag 2.107 2.486 0.964
Ac 2.107 2.486 4.374
Ac 0.000 0.000 1.628
Ac 0.000 2.486 10.256
Ac 2.107 0.000 7.562
Au 0.000 2.486 6.993
Au 0.000 0.000 4.923
Au 2.107 0.000 10.914
```

=====

Record 2
Material: K2CdSnBr6
Method: DFT, PBE
State: optimized geometry

theoretical density	3.7	g/cm³
E_form (uncorrected)	-1178	meV/atom

```
10
Lattice="-7.628 0.232 -2.045 -2.821 -5.104 -5.329 -4.911 -5.883 2.375" Properties=species:S:1:pos:R:3 pbc="T T T"
Br -5.405 -6.569 -4.972
Br -10.458 -4.278 -4.443
Br -5.859 -6.981 -0.853
Br -9.288 -7.826 -2.611
Br -6.179 -2.317 -1.453
Br -9.093 -4.901 0.027
K -7.519 -4.896 -3.045
K -4.756 -5.421 1.850
Sn -11.232 -7.204 -4.729
Cd -3.550 -1.822 -2.236
```

=====

Record 3
Material: PbBrCl
Method: DFT, PBE
State: optimized geometry

excess energy over the best structure of this formula in the dataset	0.025	eV/atom
theoretical density	5.6	g/cm³
E_form (uncorrected)	-999	meV/atom

```
3
Lattice="-3.368 0.641 3.804 -1.945 -4.077 2.411 1.369 -1.012 4.829" Properties=species:S:1:pos:R:3 pbc="T T T"
Cl -1.972 -2.224 5.522
Pb -2.958 -3.336 8.283
Br 0.000 0.000 0.000
```

=====

Record 4
Material: Ga2Ni9Sn
Method: DFT, PBE
State: optimized geometry

DFT formation energy	-0.247	eV/atom
theoretical density	9.1	g/cm³

```
12
Lattice="-3.470 -0.878 0.689 -0.555 -0.598 -3.553 2.881 -10.369 1.294" Properties=species:S:1:pos:R:3 pbc="T T T"
Ni -2.012 -0.738 -1.432
Ni -1.224 -2.278 0.574
Ni -0.106 -7.600 -0.575
Ni -1.038 -4.244 -0.994
Ni 0.234 -2.138 -1.547
Ni 1.163 -5.483 -1.129
Ni -0.295 -5.624 0.992
Ni 2.092 -8.829 -0.712
Ni 0.635 -8.969 1.409
Sn 0.000 0.000 0.000
Ga 1.905 -6.856 0.856
Ga 0.976 -3.513 0.438
```

=====

Record 5
Material: Rb2CdGa4Sn3
Method: DFT, PBE
State: optimized geometry

DFT formation energy	-0.138	eV/atom
theoretical density	5.4	g/cm³

```
10
Lattice="4.914 0.000 0.000 0.000 4.914 0.000 0.000 0.000 11.641" Properties=species:S:1:pos:R:3 pbc="T T T"
Rb 2.457 0.000 2.852
Rb 0.000 2.457 8.789
Sn 2.457 0.000 10.158
Sn 0.000 2.457 1.482
Sn 0.000 0.000 5.820
Cd 2.457 2.457 5.820
Ga 2.457 2.457 0.000
Ga 0.000 0.000 0.000
Ga 2.457 0.000 7.348
Ga 0.000 2.457 4.292
```